Entry 1:
# Rb3LiAg2Br9

A relaxed Rb3LiAg2Br9 crystal (PBE, the Alexandria database).

abc: 7.6244 7.6244 9.4017
angles: 90.00 90.00 120.00
Last column: nearest neighbours and their distance in Å.
Atoms (fractional coordinates):
Br1 0.6702 0.8351 0.3268  1 Ag 2.68, 1 Li 2.72
Br2 0.1649 0.8351 0.3268  1 Ag 2.68, 1 Li 2.72
Br3 0.5000 0.0000 0.0000  2 Ag 2.71
Br4 0.3298 0.1649 0.6732  1 Ag 2.68, 1 Li 2.72
Br5 0.1649 0.3298 0.3268  1 Ag 2.68, 1 Li 2.72
Br6 0.8351 0.1649 0.6732  1 Ag 2.68, 1 Li 2.72
Br7 0.8351 0.6702 0.6732  1 Ag 2.68, 1 Li 2.72
Br8 0.0000 0.5000 0.0000  2 Ag 2.71
Br9 0.5000 0.5000 0.0000  2 Ag 2.71
Ag1 0.3333 0.6667 0.1681  6 Br 2.68-2.71
Ag2 0.6667 0.3333 0.8319  6 Br 2.68-2.71
Rb1 0.0000 0.0000 0.0000  12 Br 3.77-3.81
Rb2 0.6667 0.3333 0.3467  12 Br 3.79-3.93
Rb3 0.3333 0.6667 0.6533  12 Br 3.79-3.93
Li1 0.0000 0.0000 0.5000  6 Br 2.72

Summary:
As for the crystal system: trigonal. The space-group type is No. 164. The value obtained for the formation energy without anion corrections is -14.6 eV/f.u.

=====

Entry 2:
# RbLi2AgBr4

A relaxed RbLi2AgBr4 crystal (PBE, the Alexandria database).

abc: 7.0277 7.1328 7.1328
angles: 58.85 60.49 60.49
Last column: nearest neighbours and their distance in Å.
Atoms (fractional coordinates):
Li1 0.7501 0.7499 0.7499  4 Br 2.64
Li2 0.2499 0.2501 0.2501  4 Br 2.64
Br1 0.8808 0.5414 0.1196  2 Li 2.64, 1 Ag 2.72
Br2 0.4582 0.1196 0.5414  2 Li 2.64, 1 Ag 2.72
Br3 0.1192 0.8804 0.4586  2 Li 2.64, 1 Ag 2.72
Br4 0.5418 0.4586 0.8804  2 Li 2.64, 1 Ag 2.72
Ag1 0.5000 0.5000 0.5000  4 Br 2.72
Rb1 0.0000 0.0000 0.0000  4 Br 3.35

Summary:
As for the crystal system: orthorhombic. The space-group type is No. 23. The value obtained for the formation energy without anion corrections is -9.9 eV/f.u.

=====

Entry 3:
# Rb2LiAgBr5

A relaxed Rb2LiAgBr5 crystal (PBE, the Alexandria database).

abc: 4.4816 10.7154 12.9876
angles: 90.00 90.00 102.07
Last column: nearest neighbours and their distance in Å.
Atoms (fractional coordinates):
Br1 0.2994 0.5988 0.3566  1 Ag 2.75, 2 Li 2.88
Br2 0.0358 0.0716 0.0588  2 Ag 2.75
Br3 0.3423 0.6845 0.9978  1 Li 2.45
Br4 0.4788 0.9577 0.3161  1 Ag 2.61
Br5 0.6816 0.3631 0.1274  1 Ag 2.66
Br6 0.7006 0.4012 0.8566  1 Ag 2.75, 2 Li 2.88
Br7 0.3184 0.6369 0.6274  1 Ag 2.66
Br8 0.9642 0.9284 0.5588  2 Ag 2.75
Br9 0.5212 0.0423 0.8161  1 Ag 2.61
Br10 0.6577 0.3155 0.4978  1 Li 2.45
Li1 0.2253 0.4507 0.9901  1 Br 2.45
Li2 0.7747 0.5493 0.4901  1 Br 2.45
Rb1 0.1093 0.2187 0.3134  7 Br 3.43-3.65
Rb2 0.8789 0.7578 0.1841  7 Br 3.39-3.67
Rb3 0.8907 0.7813 0.8134  7 Br 3.43-3.65
Rb4 0.1211 0.2422 0.6841  7 Br 3.39-3.67
Ag1 0.5938 0.1877 0.9797  5 Br 2.61-2.75
Ag2 0.4062 0.8123 0.4797  5 Br 2.61-2.75

Summary:
As for the crystal system: orthorhombic. The space-group type is No. 36. The value obtained for the formation energy without anion corrections is -10.5 eV/f.u.